A plane-wave DFT calculation with PBE was carried out for an optimized crystal structure of CsReCl4O2.

The space group is P2_1/c (No. 14) and the conventional cell measures 6.862, 11.136 and 12.303 Å, with angles of 90.00, 93.29 and 90.00 degrees. The inequivalent atoms are Cs at (0.177, 0.111, 0.351), Re at (0.294, 0.699, 0.444), Cl at (0.013, 0.195, 0.623), Cl at (0.102, 0.622, 0.577), Cl at (0.314, 0.617, 0.062), Cl at (0.446, 0.682, 0.818), O at (0.235, 0.586, 0.351) and O at (0.489, 0.152, 0.992).

As for the crystal system: monoclinic. As for the energy relative to the elements, uncorrected: -1.2562 eV per atom.

---

A plane-wave DFT calculation with PBE was carried out for an optimized crystal structure of GdSc2Al.

The space group is Fm-3m (No. 225) and the conventional cell measures 7.202, 7.202 and 7.202 Å, with angles of 90.00, 90.00 and 90.00 degrees. The inequivalent atoms are Gd at (0.000, 0.000, 0.000), Sc at (0.250, 0.250, 0.250) and Al at (0.000, 0.000, 0.500).

As for the crystal system: cubic. As for the density of states at the Fermi level: 1.954 states/eV/atom. The calculation puts the total DFT energy (no corrections) at -7.71 eV/atom.

---

A plane-wave DFT calculation with PBE was carried out for an optimized crystal structure of Mg2ZrW.

The space group is I4/mmm (No. 139) and the conventional cell measures 4.120, 4.120 and 9.088 Å, with angles of 90.00, 90.00 and 90.00 degrees. The inequivalent atoms are Mg at (0.000, 0.500, 0.250), Zr at (0.000, 0.000, 0.000) and W at (0.000, 0.000, 0.500).

As for the crystal system: tetragonal. As for the density of states at the Fermi level: 0.969 states/eV/atom. The calculation puts the total DFT energy (no corrections) at -5.84 eV/atom.

---

A plane-wave DFT calculation with PBE was carried out for an optimized crystal structure of Ba2NdPd.

The space group is R-3m (No. 166, hexagonal axes) and the conventional cell measures 4.1297, 4.1297 and 34.8784 Å, with angles of 90.00, 90.00 and 120.00 degrees. The inequivalent atoms are Ba at (0.0000, 0.0000, 0.1094), Nd at (0.0000, 0.0000, 0.0000) and Pd at (0.0000, 0.0000, 0.5000).

As for the crystal system: trigonal. As for the density of states at the Fermi level: 1.121 states/eV/atom. The calculation puts the total DFT energy (no corrections) at -3.40 eV/atom.

---

A plane-wave DFT calculation with PBE was carried out for an optimized crystal structure of RbSrBe2Rh.

The space group is P4/mmm (No. 123) and the conventional cell measures 4.693, 4.693 and 5.483 Å, with angles of 90.00, 90.00 and 90.00 degrees. The inequivalent atoms are Rb at (0.000, 0.000, 0.000), Sr at (0.500, 0.500, 0.000), Be at (0.000, 0.500, 0.500) and Rh at (0.500, 0.500, 0.500).

As for the crystal system: tetragonal. As for the density of states at the Fermi level: 0.521 states/eV/atom. The calculation puts the total DFT energy (no corrections) at -3.12 eV/atom.

---

A plane-wave DFT calculation with PBE was carried out for an optimized crystal structure of KRu3W.

The space group is Pm-3m (No. 221) and the conventional cell measures 4.816, 4.816 and 4.816 Å, with angles of 90.00, 90.00 and 90.00 degrees. The inequivalent atoms are K at (0.000, 0.000, 0.000), Ru at (0.000, 0.500, 0.500) and W at (0.500, 0.500, 0.500).

As for the crystal system: cubic. As for the density of states at the Fermi level: 1.231 states/eV/atom. The calculation puts the total DFT energy (no corrections) at -6.94 eV/atom.